Record 1
## BaRuRhO6 (PBE)

Data for a relaxed BaRuRhO6 crystal.

Structure (POSCAR):
```
BaRuRhO6
1.0
5.344 0.000 0.000
-2.672 4.628 0.000
0.000 0.000 5.617
Ba Ru Rh O
1 1 1 6
direct
0.000 0.000 0.000 Ba
0.333 0.667 0.500 Ru
0.667 0.333 0.500 Rh
0.007 0.395 0.691 O
0.007 0.612 0.309 O
0.388 0.395 0.309 O
0.388 0.993 0.691 O
0.605 0.612 0.691 O
0.605 0.993 0.309 O
```

Results
As for the density of states at the Fermi level: 0.179 states/eV per atom. The value obtained for the uncorrected formation energy is -1.323 eV per atom. The total energy comes out at -6.689 eV/atom.



Record 2
## Ba2RuRhO6 (PBE)

Data for a relaxed Ba2RuRhO6 crystal.

Structure (POSCAR):
```
Ba2RuRhO6
1.0
2.916 1.683 9.633
-2.916 1.683 9.633
0.000 -3.367 9.633
Ba Ru Rh O
4 2 2 12
direct
0.124 0.124 0.124 Ba
0.289 0.289 0.289 Ba
0.711 0.711 0.711 Ba
0.876 0.876 0.876 Ba
0.000 0.000 0.000 Ru
0.500 0.500 0.500 Ru
0.412 0.412 0.412 Rh
0.588 0.588 0.588 Rh
0.144 0.613 0.613 O
0.201 0.201 0.718 O
0.201 0.718 0.201 O
0.282 0.799 0.799 O
0.387 0.387 0.856 O
0.387 0.856 0.387 O
0.613 0.144 0.613 O
0.613 0.613 0.144 O
0.718 0.201 0.201 O
0.799 0.282 0.799 O
0.799 0.799 0.282 O
0.856 0.387 0.387 O
```

Results
As for the density of states at the Fermi level: 0.382 states/eV per atom. The value obtained for the uncorrected formation energy is -1.671 eV per atom. The total energy comes out at -6.693 eV/atom.



Asked for M_tot across the records above, the calculation gives 1.0, 2.0 μB per formula unit in order.